(1)
! PBE PrZnCuGe2, relaxed; values from VASP
! * space-group type: I-4m2
&SYSTEM
  ibrav = 0, nat = 5, ntyp = 4
/
ATOMIC_SPECIES
Pr 140.91 Pr.upf
Zn 65.41 Zn.upf
Cu 63.55 Cu.upf
Ge 72.64 Ge.upf
CELL_PARAMETERS angstrom
-1.996 -1.381 3.418
-3.289 -1.090 -2.361
4.780 -3.647 -1.252
ATOMIC_POSITIONS angstrom
Pr 0.000 0.000 0.000
Zn 0.071 -3.131 1.347
Cu -0.576 -2.986 -1.542
Ge -2.135 -2.395 0.357
Ge 1.630 -3.723 -0.552

=====

(2)
! PBE CuGe2Pt2, relaxed; values from VASP
! * energy relative to the lowest polymorph listed for this composition: 0.0995 eV per atom
! * space-group type: I4/mmm
&SYSTEM
  ibrav = 0, nat = 5, ntyp = 3
/
ATOMIC_SPECIES
Ge 72.64 Ge.upf
Cu 63.55 Cu.upf
Pt 195.08 Pt.upf
CELL_PARAMETERS angstrom
3.833 0.000 0.000
0.000 3.833 0.000
1.916 1.916 5.946
ATOMIC_POSITIONS angstrom
Ge 3.833 1.916 2.973
Ge 1.916 3.833 2.973
Cu 0.000 0.000 0.000
Pt 1.916 1.916 1.322
Pt 3.833 3.833 4.624

=====

(3)
! PBE Cu2GePt, relaxed; values from VASP
! * space-group type: I-42d
&SYSTEM
  ibrav = 0, nat = 8, ntyp = 3
/
ATOMIC_SPECIES
Ge 72.64 Ge.upf
Cu 63.55 Cu.upf
Pt 195.08 Pt.upf
CELL_PARAMETERS angstrom
-3.654 4.225 4.176
2.146 -3.634 5.553
1.213 1.785 5.079
ATOMIC_POSITIONS angstrom
Ge -0.754 0.296 4.865
Ge 1.302 -0.777 7.748
Cu -1.663 2.576 4.518
Cu 1.138 -1.240 5.319
Cu 0.373 1.511 7.533
Cu -0.439 1.905 12.247
Pt 0.000 0.000 0.000
Pt -1.598 3.153 7.060

=====

(4)
! PBE CuGePt, relaxed; values from VASP
! * space-group type: P-6m2
&SYSTEM
  ibrav = 0, nat = 3, ntyp = 3
/
ATOMIC_SPECIES
Ge 72.64 Ge.upf
Cu 63.55 Cu.upf
Pt 195.08 Pt.upf
CELL_PARAMETERS angstrom
-1.960 -0.014 -2.074
2.636 -2.308 -2.476
-2.760 -1.978 2.621
ATOMIC_POSITIONS angstrom
Ge -1.634 -0.011 -1.729
Cu -1.615 -2.092 0.231
Pt -0.796 -2.209 -2.505

=====

(5)
! PBE CuGePt, relaxed; values from VASP
! * space-group type: F-43m
&SYSTEM
  ibrav = 0, nat = 3, ntyp = 3
/
ATOMIC_SPECIES
Ge 72.64 Ge.upf
Cu 63.55 Cu.upf
Pt 195.08 Pt.upf
CELL_PARAMETERS angstrom
4.165 0.000 0.000
2.082 3.607 0.000
2.082 1.202 3.401
ATOMIC_POSITIONS angstrom
Ge 0.000 0.000 0.000
Cu 4.165 2.405 1.700
Pt 2.082 1.202 0.850

=====

(6)
! PBE CuGePt2, relaxed; values from VASP
! * space-group type: R3m
&SYSTEM
  ibrav = 0, nat = 4, ntyp = 3
/
ATOMIC_SPECIES
Cu 63.55 Cu.upf
Ge 72.64 Ge.upf
Pt 195.08 Pt.upf
CELL_PARAMETERS angstrom
3.991 0.000 0.000
1.996 3.457 0.000
1.996 1.152 4.783
ATOMIC_POSITIONS angstrom
Cu 3.991 2.304 2.465
Ge 5.987 3.457 4.714
Pt 1.996 1.152 3.766
Pt 1.996 1.152 1.012

=====

(7)
! PBE CuGe2Pt, relaxed; values from VASP
! * energy relative to the lowest polymorph listed for this composition: 0.0490 eV per atom
! * space-group type: R-3m
&SYSTEM
  ibrav = 0, nat = 4, ntyp = 3
/
ATOMIC_SPECIES
Ge 72.64 Ge.upf
Cu 63.55 Cu.upf
Pt 195.08 Pt.upf
CELL_PARAMETERS angstrom
3.186 0.000 0.000
1.593 2.759 0.000
1.593 0.920 8.306
ATOMIC_POSITIONS angstrom
Ge 1.593 0.920 5.971
Ge 4.779 2.759 2.335
Cu 0.000 0.000 0.000
Pt 3.186 1.840 4.153

=====

(8)
! PBE CuGe2Pt6, relaxed; values from VASP
! * energy relative to the lowest polymorph listed for this composition: 0.0000 eV per atom
! * space-group type: Amm2
&SYSTEM
  ibrav = 0, nat = 9, ntyp = 3
/
ATOMIC_SPECIES
Cu 63.55 Cu.upf
Ge 72.64 Ge.upf
Pt 195.08 Pt.upf
CELL_PARAMETERS angstrom
3.743 0.000 0.000
0.000 5.847 -3.040
0.000 -0.289 6.583
ATOMIC_POSITIONS angstrom
Cu 1.871 0.002 0.001
Ge 3.742 3.802 0.168
Ge 3.742 1.756 3.376
Pt 1.871 2.221 1.416
Pt 1.871 3.221 4.751
Pt 1.871 5.667 0.915
Pt 3.742 4.081 2.602
Pt 0.000 1.557 -0.808
Pt 0.000 -0.076 1.753

=====

(9)
! PBE Cu3GePt, relaxed; values from VASP
! * energy relative to the lowest polymorph listed for this composition: 0.8108 eV per atom
! * space-group type: Pm-3m
&SYSTEM
  ibrav = 0, nat = 5, ntyp = 3
/
ATOMIC_SPECIES
Ge 72.64 Ge.upf
Cu 63.55 Cu.upf
Pt 195.08 Pt.upf
CELL_PARAMETERS angstrom
-3.093 -1.792 -2.536
2.752 0.076 -3.410
1.438 -3.999 1.072
ATOMIC_POSITIONS angstrom
Ge 0.000 0.000 0.000
Cu 1.376 0.038 -1.705
Cu 0.719 -1.999 0.536
Cu -1.546 -0.896 -1.268
Pt 0.549 -2.858 -2.437

=====

(10)
! PBE Cu4Ge2Pt, relaxed; values from VASP
! * space-group type: I4/mmm
&SYSTEM
  ibrav = 0, nat = 7, ntyp = 3
/
ATOMIC_SPECIES
Ge 72.64 Ge.upf
Cu 63.55 Cu.upf
Pt 195.08 Pt.upf
CELL_PARAMETERS angstrom
-3.428 1.145 -3.054
-3.106 0.204 3.563
-1.997 6.533 1.026
ATOMIC_POSITIONS angstrom
Ge -3.000 1.907 0.417
Ge -5.531 5.975 1.118
Cu -2.514 4.147 0.712
Cu -6.017 3.735 0.823
Cu -1.553 0.102 1.782
Cu -1.714 0.573 -1.527
Pt 0.000 0.000 0.000

=====

(11)
! PBE Cu6GePt, relaxed; values from VASP
! * space-group type: R-3m
&SYSTEM
  ibrav = 0, nat = 8, ntyp = 3
/
ATOMIC_SPECIES
Cu 63.55 Cu.upf
Ge 72.64 Ge.upf
Pt 195.08 Pt.upf
CELL_PARAMETERS angstrom
-1.683 -4.476 -0.840
0.803 -2.130 -4.289
5.199 -4.693 0.556
ATOMIC_POSITIONS angstrom
Cu 2.774 -9.423 -4.410
Cu 3.610 -7.201 -3.993
Cu 1.942 -2.933 -2.292
Cu 0.708 -4.098 -0.580
Cu 1.544 -1.876 -0.163
Cu 2.376 -8.365 -2.281
Ge 0.000 0.000 0.000
Pt 2.159 -5.649 -2.287

=====

(12)
! PBE CuGe2Pt, relaxed; values from VASP
! * energy relative to the lowest polymorph listed for this composition: 0.0000 eV per atom
! * space-group type: Fm-3m
&SYSTEM
  ibrav = 0, nat = 4, ntyp = 3
/
ATOMIC_SPECIES
Ge 72.64 Ge.upf
Cu 63.55 Cu.upf
Pt 195.08 Pt.upf
CELL_PARAMETERS angstrom
0.000 3.161 3.161
3.161 0.000 3.161
3.161 3.161 0.000
ATOMIC_POSITIONS angstrom
Ge 1.581 1.581 1.581
Ge 4.742 4.742 4.742
Cu 0.000 0.000 0.000
Pt 3.161 3.161 3.161

=====

Number 1: energy of formation -0.47 eV/atom, D(E_F) 2.2 states/eV/cell, magnetization 0.00 μB per formula unit. Number 2: energy of formation -0.03 eV/atom, D(E_F) 1.2 states/eV/cell, magnetization 0.00 μB per formula unit. Number 3: energy of formation 0.06 eV/atom, D(E_F) 1.9 states/eV/cell, magnetization 0.00 μB per formula unit. Number 4: energy of formation -0.18 eV/atom, D(E_F) 0.9 states/eV/cell, magnetization 0.00 μB per formula unit. Number 5: energy of formation -0.20 eV/atom, D(E_F) 1.2 states/eV/cell, magnetization 0.00 μB per formula unit. Number 6: energy of formation -0.18 eV/atom, D(E_F) 1.8 states/eV/cell, magnetization 0.00 μB per formula unit. Number 7: energy of formation 0.03 eV/atom, D(E_F) 2.4 states/eV/cell, magnetization 0.00 μB per formula unit. Number 8: energy of formation -0.21 eV/atom, D(E_F) 5.4 states/eV/cell, magnetization 0.00 μB per formula unit. Number 9: energy of formation 0.72 eV/atom, D(E_F) 3.1 states/eV/cell, magnetization 0.00 μB per formula unit. Number 10: energy of formation 0.50 eV/atom, D(E_F) 2.6 states/eV/cell, magnetization 0.00 μB per formula unit. Number 11: energy of formation 0.28 eV/atom, D(E_F) 3.2 states/eV/cell, magnetization 0.00 μB per formula unit. Number 12: energy of formation -0.02 eV/atom, D(E_F) 2.5 states/eV/cell, magnetization 0.00 μB per formula unit.